# Nd3Hg2Pt

A relaxed structure of Nd3Hg2Pt (GGA-PBE, the Alexandria database).

E_form (eV per formula unit): -3.44
Total magnetic moment (μB/f.u.): 0.0

a b c (Å): 8.173 8.173 8.082
angles (deg): 104.28 104.28 43.96
Element x y z (fractional)
1 Nd 0.000 0.000 0.250
2 Nd 0.000 0.000 0.750
3 Nd 0.361 0.362 0.931
4 Nd 0.362 0.361 0.431
5 Nd 0.638 0.639 0.569
6 Nd 0.639 0.638 0.069
7 Hg 0.185 0.186 0.594
8 Hg 0.186 0.185 0.094
9 Hg 0.814 0.815 0.906
10 Hg 0.815 0.814 0.406
11 Pt 0.500 0.500 0.250
12 Pt 0.500 0.500 0.750


# Nd5Hg2Pt

A relaxed structure of Nd5Hg2Pt (GGA-PBE, the Alexandria database).

Polymorph energy (0 for the lowest one) (kJ/mol of atoms): 0.0
E_form (eV per formula unit): -4.20
Total magnetic moment (μB/f.u.): 0.0

a b c (Å): 7.345 12.728 5.033
angles (deg): 90.00 90.00 90.00
Element x y z (fractional)
1 Nd 0.000 0.000 0.000
2 Nd 0.137 0.289 0.000
3 Nd 0.179 0.582 0.500
4 Nd 0.321 0.082 0.500
5 Nd 0.363 0.789 0.000
6 Nd 0.500 0.500 0.000
7 Nd 0.637 0.211 0.000
8 Nd 0.679 0.918 0.500
9 Nd 0.821 0.418 0.500
10 Nd 0.863 0.711 0.000
11 Hg 0.091 0.837 0.500
12 Hg 0.409 0.337 0.500
13 Hg 0.591 0.663 0.500
14 Hg 0.909 0.163 0.500
15 Pt 0.000 0.500 0.000
16 Pt 0.500 0.000 0.000


# Nd5Hg4Pt

A relaxed structure of Nd5Hg4Pt (GGA-PBE, the Alexandria database).

E_form (eV per formula unit): -5.89
Total magnetic moment (μB/f.u.): 0.9

a b c (Å): 3.778 3.778 19.107
angles (deg): 90.00 90.00 90.00
Element x y z (fractional)
1 Nd 0.000 0.000 0.000
2 Nd 0.000 0.000 0.206
3 Nd 0.000 0.000 0.413
4 Nd 0.000 0.000 0.587
5 Nd 0.000 0.000 0.794
6 Hg 0.500 0.500 0.103
7 Hg 0.500 0.500 0.305
8 Hg 0.500 0.500 0.695
9 Hg 0.500 0.500 0.897
10 Pt 0.500 0.500 0.500


# NdHgPt2

A relaxed structure of NdHgPt2 (GGA-PBE, the Alexandria database).

Polymorph energy (0 for the lowest one) (kJ/mol of atoms): 0.0
E_form (eV per formula unit): -2.63
Total magnetic moment (μB/f.u.): 0.0

a b c (Å): 5.288 5.288 5.288
angles (deg): 52.97 52.97 52.97
Element x y z (fractional)
1 Nd 0.000 0.000 0.000
2 Hg 0.500 0.500 0.500
3 Pt 0.219 0.219 0.219
4 Pt 0.781 0.781 0.781


# Nd2HgPt

A relaxed structure of Nd2HgPt (GGA-PBE, the Alexandria database).

Polymorph energy (0 for the lowest one) (kJ/mol of atoms): 4.7
E_form (eV per formula unit): -2.86
Total magnetic moment (μB/f.u.): 0.0

a b c (Å): 5.257 5.257 5.257
angles (deg): 60.00 60.00 60.00
Element x y z (fractional)
1 Nd 0.250 0.250 0.250
2 Nd 0.750 0.750 0.750
3 Hg 0.000 0.000 0.000
4 Pt 0.500 0.500 0.500


# NdHg2Pt

A relaxed structure of NdHg2Pt (GGA-PBE, the Alexandria database).

E_form (eV per formula unit): -1.88
Total magnetic moment (μB/f.u.): 0.0

a b c (Å): 5.436 5.436 5.436
angles (deg): 130.65 130.65 72.37
Element x y z (fractional)
1 Nd 0.000 0.000 0.000
2 Hg 0.250 0.750 0.500
3 Hg 0.750 0.250 0.500
4 Pt 0.500 0.500 0.000


# NdHg2Pt

A relaxed structure of NdHg2Pt (GGA-PBE, the Alexandria database).

E_form (eV per formula unit): 0.86
Total magnetic moment (μB/f.u.): 0.0

a b c (Å): 10.735 10.735 10.735
angles (deg): 17.62 17.62 17.62
Element x y z (fractional)
1 Nd 0.000 0.000 0.000
2 Hg 0.099 0.099 0.099
3 Hg 0.901 0.901 0.901
4 Pt 0.500 0.500 0.500


# Nd2HgPt

A relaxed structure of Nd2HgPt (GGA-PBE, the Alexandria database).

Polymorph energy (0 for the lowest one) (kJ/mol of atoms): 3.4
E_form (eV per formula unit): -2.91
Total magnetic moment (μB/f.u.): 0.0

a b c (Å): 7.967 7.967 7.967
angles (deg): 30.97 30.97 30.97
Element x y z (fractional)
1 Nd 0.000 0.000 0.000
2 Nd 0.195 0.195 0.195
3 Hg 0.431 0.431 0.431
4 Pt 0.596 0.596 0.596


# Nd4Hg3Pt

A relaxed structure of Nd4Hg3Pt (GGA-PBE, the Alexandria database).

E_form (eV per formula unit): -4.95
Total magnetic moment (μB/f.u.): 0.3

a b c (Å): 3.765 3.765 15.259
angles (deg): 90.00 90.00 90.00
Element x y z (fractional)
1 Nd 0.000 0.000 0.110
2 Nd 0.000 0.000 0.370
3 Nd 0.000 0.000 0.630
4 Nd 0.000 0.000 0.890
5 Hg 0.500 0.500 0.245
6 Hg 0.500 0.500 0.500
7 Hg 0.500 0.500 0.755
8 Pt 0.500 0.500 0.000


# Nd4HgPt

A relaxed structure of Nd4HgPt (GGA-PBE, the Alexandria database).

Polymorph energy (0 for the lowest one) (kJ/mol of atoms): 17.0
E_form (eV per formula unit): -2.48
Total magnetic moment (μB/f.u.): 0.0

a b c (Å): 7.445 7.384 7.266
angles (deg): 90.00 93.43 90.00
Element x y z (fractional)
1 Nd 0.147 0.159 0.176
2 Nd 0.147 0.341 0.676
3 Nd 0.331 0.646 0.126
4 Nd 0.331 0.854 0.626
5 Nd 0.669 0.146 0.374
6 Nd 0.669 0.354 0.874
7 Nd 0.853 0.659 0.324
8 Nd 0.853 0.841 0.824
9 Hg 0.500 0.000 0.000
10 Hg 0.500 0.500 0.500
11 Pt 0.000 0.000 0.500
12 Pt 0.000 0.500 0.000


# Nd3HgPt8

A relaxed structure of Nd3HgPt8 (GGA-PBE, the Alexandria database).

E_form (eV per formula unit): -11.16
Total magnetic moment (μB/f.u.): 0.0

a b c (Å): 9.522 9.522 9.522
angles (deg): 33.50 33.50 33.50
Element x y z (fractional)
1 Nd 0.000 0.000 0.000
2 Nd 0.129 0.129 0.129
3 Nd 0.614 0.614 0.614
4 Hg 0.493 0.493 0.493
5 Pt 0.057 0.559 0.559
6 Pt 0.059 0.059 0.565
7 Pt 0.059 0.565 0.059
8 Pt 0.310 0.310 0.310
9 Pt 0.559 0.057 0.559
10 Pt 0.559 0.559 0.057
11 Pt 0.565 0.059 0.059
12 Pt 0.810 0.810 0.810


# Nd3Hg4Pt4

A relaxed structure of Nd3Hg4Pt4 (GGA-PBE, the Alexandria database).

E_form (eV per formula unit): -7.16
Total magnetic moment (μB/f.u.): 0.0

a b c (Å): 9.017 9.017 9.017
angles (deg): 153.90 127.10 59.92
Element x y z (fractional)
1 Nd 0.000 0.000 0.000
2 Nd 0.381 0.881 0.500
3 Nd 0.619 0.119 0.500
4 Hg 0.028 0.334 0.694
5 Hg 0.359 0.666 0.694
6 Hg 0.641 0.334 0.306
7 Hg 0.972 0.666 0.306
8 Pt 0.237 0.237 0.000
9 Pt 0.312 0.500 0.812
10 Pt 0.688 0.500 0.188
11 Pt 0.763 0.763 0.000


# Nd2Hg3Pt2

A relaxed structure of Nd2Hg3Pt2 (GGA-PBE, the Alexandria database).

Polymorph energy (0 for the lowest one) (kJ/mol of atoms): 0.0
E_form (eV per formula unit): -4.87
Total magnetic moment (μB/f.u.): 0.0

a b c (Å): 10.629 10.629 3.816
angles (deg): 90.00 90.00 156.37
Element x y z (fractional)
1 Nd 0.169 0.831 0.000
2 Nd 0.831 0.169 0.000
3 Hg 0.000 0.000 0.000
4 Hg 0.428 0.572 0.500
5 Hg 0.572 0.428 0.500
6 Pt 0.293 0.707 0.500
7 Pt 0.707 0.293 0.500


# Nd2Hg3Pt2

A relaxed structure of Nd2Hg3Pt2 (GGA-PBE, the Alexandria database).

Polymorph energy (0 for the lowest one) (kJ/mol of atoms): 3.9
E_form (eV per formula unit): -4.59
Total magnetic moment (μB/f.u.): 0.0

a b c (Å): 5.726 5.726 7.674
angles (deg): 94.85 94.85 42.18
Element x y z (fractional)
1 Nd 0.121 0.121 0.346
2 Nd 0.879 0.879 0.654
3 Hg 0.195 0.195 0.863
4 Hg 0.500 0.500 0.000
5 Hg 0.805 0.805 0.137
6 Pt 0.402 0.402 0.371
7 Pt 0.598 0.598 0.629


# NdHg2Pt

A relaxed structure of NdHg2Pt (GGA-PBE, the Alexandria database).

E_form (eV per formula unit): -1.74
Total magnetic moment (μB/f.u.): 0.0

a b c (Å): 5.025 5.025 5.025
angles (deg): 60.00 60.00 60.00
Element x y z (fractional)
1 Nd 0.000 0.000 0.000
2 Hg 0.250 0.250 0.250
3 Hg 0.750 0.750 0.750
4 Pt 0.500 0.500 0.500


# Nd2HgPt

A relaxed structure of Nd2HgPt (GGA-PBE, the Alexandria database).

Polymorph energy (0 for the lowest one) (kJ/mol of atoms): 0.1
E_form (eV per formula unit): -3.05
Total magnetic moment (μB/f.u.): 0.0

a b c (Å): 3.687 3.687 7.614
angles (deg): 90.00 90.00 90.00
Element x y z (fractional)
1 Nd 0.000 0.000 0.226
2 Nd 0.000 0.000 0.774
3 Hg 0.500 0.500 0.500
4 Pt 0.500 0.500 0.000


# Nd12HgPt6

A relaxed structure of Nd12HgPt6 (GGA-PBE, the Alexandria database).

E_form (eV per formula unit): -14.09
Total magnetic moment (μB/f.u.): 0.0

a b c (Å): 8.940 8.940 8.940
angles (deg): 109.47 109.47 109.47
Element x y z (fractional)
1 Nd 0.122 0.820 0.302
2 Nd 0.180 0.302 0.482
3 Nd 0.180 0.698 0.878
4 Nd 0.302 0.122 0.820
5 Nd 0.302 0.482 0.180
6 Nd 0.482 0.180 0.302
7 Nd 0.518 0.820 0.698
8 Nd 0.698 0.518 0.820
9 Nd 0.698 0.878 0.180
10 Nd 0.820 0.302 0.122
11 Nd 0.820 0.698 0.518
12 Nd 0.878 0.180 0.698
13 Hg 0.000 0.000 0.000
14 Pt 0.135 0.635 0.500
15 Pt 0.365 0.500 0.865
16 Pt 0.500 0.135 0.635
17 Pt 0.500 0.865 0.365
18 Pt 0.635 0.500 0.135
19 Pt 0.865 0.365 0.500


# Nd5Hg2Pt2

A relaxed structure of Nd5Hg2Pt2 (GGA-PBE, the Alexandria database).

E_form (eV per formula unit): -6.42
Total magnetic moment (μB/f.u.): 0.0

a b c (Å): 8.774 8.774 8.586
angles (deg): 90.00 90.00 50.41
Element x y z (fractional)
1 Nd 0.000 0.000 0.000
2 Nd 0.037 0.714 0.677
3 Nd 0.214 0.537 0.177
4 Nd 0.286 0.963 0.677
5 Nd 0.463 0.786 0.177
6 Nd 0.500 0.500 0.500
7 Nd 0.537 0.214 0.823
8 Nd 0.714 0.037 0.323
9 Nd 0.786 0.463 0.823
10 Nd 0.963 0.286 0.323
11 Hg 0.210 0.210 0.000
12 Hg 0.290 0.290 0.500
13 Hg 0.710 0.710 0.500
14 Hg 0.790 0.790 0.000
15 Pt 0.132 0.868 0.377
16 Pt 0.368 0.632 0.877
17 Pt 0.632 0.368 0.123
18 Pt 0.868 0.132 0.623


# Nd3HgPt

A relaxed structure of Nd3HgPt (GGA-PBE, the Alexandria database).

E_form (eV per formula unit): -3.09
Total magnetic moment (μB/f.u.): 0.0

a b c (Å): 5.812 6.717 8.538
angles (deg): 99.63 102.20 112.38
Element x y z (fractional)
1 Nd 0.059 0.193 0.317
2 Nd 0.302 0.819 0.117
3 Nd 0.314 0.461 0.756
4 Nd 0.686 0.539 0.244
5 Nd 0.698 0.181 0.883
6 Nd 0.941 0.807 0.683
7 Hg 0.350 0.751 0.484
8 Hg 0.650 0.249 0.516
9 Pt 0.229 0.191 0.992
10 Pt 0.771 0.809 0.008


# Nd2HgPt

A relaxed structure of Nd2HgPt (GGA-PBE, the Alexandria database).

Polymorph energy (0 for the lowest one) (kJ/mol of atoms): 2.9
E_form (eV per formula unit): -2.93
Total magnetic moment (μB/f.u.): 0.0

a b c (Å): 8.209 8.209 8.209
angles (deg): 29.40 29.40 29.40
Element x y z (fractional)
1 Nd 0.236 0.236 0.236
2 Nd 0.764 0.764 0.764
3 Hg 0.000 0.000 0.000
4 Pt 0.500 0.500 0.500